# PmTm2Fe

Crystalline PmTm2Fe at its relaxed geometry (PBE-GGA, Alexandria via LeMat-Bulk).

Geometry as POSCAR:
```
PmTm2Fe
1.0
3.440 0.000 0.000
1.720 2.979 0.000
1.720 0.993 10.598
Tm Pm Fe
2 1 1
direct
0.109 0.109 0.672
0.891 0.891 0.328
0.000 0.000 0.000
0.500 0.500 0.500
```

Energy: -5.2431 eV/atom
Distance to the lowest polymorph of the same formula: 265 meV/atom
Formation energy: 0.2960 eV per atom